The following is a PBE-GGA calculation of an optimized crystal structure of KMg2Sb, from the Alexandria database.

Cell: 6.615 6.615 3.124 Å, 90.00 90.00 119.99°
Fractional positions:
K 0.000 0.000 0.000
Mg 0.000 0.500 0.500
Mg 0.500 0.000 0.500
Sb 0.500 0.500 0.000

Formation energy (no corrections), kJ/mol of formula units: 57
Calculated volume, Å³/atom: 29.60
DOS(E_F), states/eV/atom: 0.4480